Arrangement 1

Pa2SbOs (PBE-GGA, relaxed); ρ = 14.27 g/cm³; Fermi-level density of states = 1.44 states/eV/atom
1.0
-2.798 1.350 -0.948
0.309 -1.405 -2.912
-4.260 -6.829 2.844
Sb Pa Os
1 2 1
direct
0.500 0.500 0.500
0.000 0.000 0.779
0.000 0.000 0.221
0.500 0.500 0.000

Arrangement 2

Pa2SbOs (PBE-GGA, relaxed); ρ = 12.39 g/cm³; Fermi-level density of states = 0.98 states/eV/atom
1.0
-2.497 3.170 -0.163
-3.421 -0.012 2.146
1.565 4.129 6.317
Sb Pa Os
1 2 1
direct
0.000 0.000 0.000
0.764 0.764 0.708
0.236 0.236 0.292
0.500 0.500 0.500

What should be chosen as the least stable of them? Choose arrangement 1.

Arrangement 1

PaSi3Os (PBE-GGA, relaxed); ρ = 9.80 g/cm³; Fermi-level density of states = 0.65 states/eV/atom
1.0
-4.030 0.772 0.739
-0.472 1.301 -3.933
1.118 -5.628 0.214
Pa Si Os
1 3 1
direct
0.994 0.994 0.989
0.265 0.765 0.529
0.765 0.265 0.529
0.415 0.415 0.829
0.652 0.652 0.304

Arrangement 2

PaSi3Os (PBE-GGA, relaxed); ρ = 9.32 g/cm³; Fermi-level density of states = 0.39 states/eV/atom
1.0
-5.403 1.450 0.399
-1.182 -4.965 2.040
0.937 2.001 5.412
Pa Si Os
2 6 2
direct
0.424 0.328 0.701
0.924 0.025 0.201
0.378 0.254 0.201
0.457 0.868 0.977
0.957 0.485 0.477
0.878 0.099 0.701
0.957 0.485 0.925
0.457 0.868 0.425
0.162 0.788 0.701
0.662 0.565 0.201

What should be chosen as the least stable of them? Choose arrangement 2.

Arrangement 1

PaSi2Os4 (PBE-GGA, relaxed); ρ = 15.67 g/cm³; Fermi-level density of states = 1.01 states/eV/atom
1.0
-0.701 3.916 0.142
-3.801 -0.642 -1.066
0.110 -0.243 7.255
Pa Si Os
1 2 4
direct
0.000 0.000 0.000
0.500 0.583 0.165
0.500 0.417 0.835
0.500 0.815 0.630
0.000 0.686 0.373
0.500 0.185 0.370
0.000 0.314 0.627

Arrangement 2

PaSi2Os4 (PBE-GGA, relaxed); ρ = 15.66 g/cm³; Fermi-level density of states = 0.79 states/eV/atom
1.0
-2.186 2.871 1.429
-3.420 0.737 -6.711
-5.235 -5.040 2.114
Pa Si Os
2 4 8
direct
0.500 0.000 0.000
0.000 0.500 0.500
0.000 0.222 0.778
0.000 0.778 0.222
0.500 0.722 0.722
0.500 0.278 0.278
0.000 0.077 0.339
0.000 0.923 0.661
0.500 0.161 0.577
0.500 0.839 0.423
0.500 0.423 0.839
0.500 0.577 0.161
0.000 0.339 0.077
0.000 0.661 0.923

What should be chosen as the least stable of them? Choose arrangement 1.

Arrangement 1

PaSiOs2 (PBE-GGA, relaxed); ρ = 16.42 g/cm³; Fermi-level density of states = 1.01 states/eV/atom
1.0
-0.055 -2.282 -1.973
-0.051 -1.972 2.282
-7.106 0.177 -0.005
Si Pa Os
1 1 2
direct
0.500 0.500 0.000
0.500 0.500 0.500
0.000 0.000 0.800
0.000 0.000 0.200

Arrangement 2

PaSiOs2 (PBE-GGA, relaxed); ρ = 14.89 g/cm³; Fermi-level density of states = 0.65 states/eV/atom
1.0
-3.186 -1.618 1.834
-3.057 -1.434 -2.176
0.165 -5.597 -0.252
Si Pa Os
1 1 2
direct
0.500 0.500 0.500
0.000 0.000 0.000
0.780 0.780 0.661
0.220 0.220 0.339

What should be chosen as the least stable of them? Choose arrangement 2.

Arrangement 1

Pa2SiOs (PBE-GGA, relaxed); ρ = 13.17 g/cm³; Fermi-level density of states = 1.52 states/eV/atom
1.0
-0.169 -2.971 3.403
3.384 -0.207 2.991
-1.170 2.234 4.895
Si Pa Os
1 2 1
direct
0.000 0.000 0.000
0.754 0.754 0.739
0.246 0.246 0.261
0.500 0.500 0.500

Arrangement 2

Pa2SiOs (PBE-GGA, relaxed); ρ = 14.03 g/cm³; Fermi-level density of states = 1.10 states/eV/atom
1.0
3.678 0.000 0.000
0.000 3.678 0.000
0.000 0.000 5.954
Si Pa Os
1 2 1
direct
0.500 0.500 0.500
0.000 0.000 0.744
0.000 0.000 0.256
0.500 0.500 0.000

Arrangement 3

Pa2SiOs (PBE-GGA, relaxed); ρ = 14.59 g/cm³; Fermi-level density of states = 1.45 states/eV/atom
1.0
4.220 0.000 0.000
0.000 4.284 0.000
0.000 0.000 4.284
Si Pa Os
1 2 1
direct
0.500 0.000 0.000
0.000 0.000 0.500
0.000 0.500 0.000
0.500 0.500 0.500

Arrangement 4

Pa2SiOs (PBE-GGA, relaxed); ρ = 13.15 g/cm³; Fermi-level density of states = 1.41 states/eV/atom
1.0
-2.240 1.735 2.742
-4.312 -3.667 -1.202
4.979 -2.791 5.834
Pa Si Os
4 2 2
direct
0.750 0.214 0.434
0.250 0.786 0.566
0.250 0.790 0.091
0.750 0.210 0.909
0.250 0.345 0.203
0.750 0.655 0.797
0.750 0.672 0.297
0.250 0.328 0.703

What should be chosen as the least stable of them? Choose arrangement 1.

Arrangement 1

SmPaOs (PBE-GGA, relaxed); ρ = 12.01 g/cm³; Fermi-level density of states = 1.04 states/eV/atom
1.0
-3.768 0.552 2.567
2.464 -0.369 3.697
-0.669 4.004 -1.843
Pa Os Sm
1 1 1
direct
0.204 0.333 0.667
0.114 0.000 0.000
0.681 0.667 0.333

Arrangement 2

SmPaOs (PBE-GGA, relaxed); ρ = 12.07 g/cm³; Fermi-level density of states = 2.02 states/eV/atom
1.0
-4.221 1.882 1.327
-3.561 -2.879 1.467
-1.304 -0.045 4.628
Pa Os Sm
1 1 1
direct
0.000 0.000 0.000
0.250 0.250 0.250
0.500 0.500 0.500

What should be chosen as the least stable of them? Choose arrangement 1.

Arrangement 1

SmPaOs (PBE-GGA, relaxed); ρ = 11.43 g/cm³; Fermi-level density of states = 1.16 states/eV/atom
1.0
-6.818 -0.185 -0.314
-0.166 -6.821 0.263
-0.335 0.282 7.121
Os Sm Pa
4 4 4
direct
0.057 0.057 0.320
0.557 0.557 0.180
0.443 0.443 0.820
0.943 0.943 0.680
0.201 0.799 0.000
0.799 0.201 0.000
0.701 0.299 0.500
0.299 0.701 0.500
0.290 0.290 0.169
0.210 0.210 0.669
0.710 0.710 0.831
0.790 0.790 0.331

Arrangement 2

SmPaOs (PBE-GGA, relaxed); ρ = 13.45 g/cm³; Fermi-level density of states = 0.88 states/eV/atom
1.0
3.559 0.000 0.000
0.000 3.559 0.000
-1.780 -1.780 5.569
Pa Os Sm
1 1 1
direct
0.302 0.302 0.604
0.694 0.694 0.388
0.004 0.004 0.008

What should be chosen as the least stable of them? Choose arrangement 1.

Arrangement 1

SmPaOs2 (PBE-GGA, relaxed); ρ = 15.21 g/cm³; Fermi-level density of states = 0.77 states/eV/atom
1.0
-3.856 -2.899 0.852
0.650 -4.812 0.652
-0.644 -1.980 4.435
Pa Os Sm
1 2 1
direct
0.500 0.500 0.500
0.250 0.250 0.250
0.750 0.750 0.750
0.000 0.000 0.000

Arrangement 2

SmPaOs2 (PBE-GGA, relaxed); ρ = 14.97 g/cm³; Fermi-level density of states = 0.74 states/eV/atom
1.0
3.502 0.000 0.000
0.000 3.502 0.000
0.000 0.000 6.889
Pa Os Sm
1 2 1
direct
0.500 0.500 0.000
0.000 0.000 0.781
0.000 0.000 0.219
0.500 0.500 0.500

What should be chosen as the least stable of them? Choose arrangement 1.

Arrangement 1

Pa2SnOs (PBE-GGA, relaxed); ρ = 13.19 g/cm³; Fermi-level density of states = 1.50 states/eV/atom
1.0
-3.949 0.107 -0.384
1.602 -6.349 2.266
-0.605 2.468 6.917
Pa Sn Os
4 2 2
direct
0.765 0.530 0.297
0.235 0.470 0.703
0.948 0.896 0.712
0.052 0.104 0.288
0.391 0.783 0.045
0.609 0.217 0.955
0.393 0.786 0.442
0.607 0.214 0.558

Arrangement 2

Pa2SnOs (PBE-GGA, relaxed); ρ = 14.02 g/cm³; Fermi-level density of states = 1.62 states/eV/atom
1.0
3.224 0.000 0.000
0.000 5.322 0.000
0.000 0.000 5.322
Pa Os Sn
2 1 1
direct
0.000 0.000 0.500
0.000 0.500 0.000
0.500 0.000 0.000
0.500 0.500 0.500

What should be chosen as the least stable of them? Choose arrangement 2.

Arrangement 1

Pa2SnOs (PBE-GGA, relaxed); ρ = 14.27 g/cm³; Fermi-level density of states = 1.26 states/eV/atom
1.0
-2.492 0.749 1.862
-1.968 -1.499 -2.030
1.086 -7.460 4.455
Pa Os Sn
2 1 1
direct
0.000 0.000 0.782
0.000 0.000 0.218
0.500 0.500 0.000
0.500 0.500 0.500

Arrangement 2

Pa2SnOs (PBE-GGA, relaxed); ρ = 12.25 g/cm³; Fermi-level density of states = 1.57 states/eV/atom
1.0
-2.828 -2.588 1.128
0.536 -2.251 3.257
-3.986 3.756 5.702
Pa Os Sn
2 1 1
direct
0.765 0.765 0.704
0.235 0.235 0.296
0.500 0.500 0.500
0.000 0.000 0.000

What should be chosen as the least stable of them? Choose arrangement 2.

Arrangement 1

PaTaOs2 (PBE-GGA, relaxed); ρ = 18.25 g/cm³; Fermi-level density of states = 0.81 states/eV/atom
1.0
3.112 0.000 0.000
0.000 3.112 0.000
0.000 0.000 7.447
Pa Os Ta
1 2 1
direct
0.500 0.500 0.500
0.000 0.000 0.787
0.000 0.000 0.213
0.500 0.500 0.000

Arrangement 2

PaTaOs2 (PBE-GGA, relaxed); ρ = 16.88 g/cm³; Fermi-level density of states = 0.63 states/eV/atom
1.0
4.337 0.000 0.000
2.168 3.756 0.000
2.168 1.252 4.785
Pa Os Ta
1 2 1
direct
0.500 0.500 0.500
0.275 0.275 0.175
0.725 0.725 0.825
0.000 0.000 0.000

What should be chosen as the least stable of them? Choose arrangement 2.

Arrangement 1

TbPa2Os (PBE-GGA, relaxed); ρ = 13.69 g/cm³; Fermi-level density of states = 1.68 states/eV/atom
1.0
-1.002 0.092 3.484
2.349 -2.661 0.746
5.314 5.081 1.395
Tb Pa Os
1 2 1
direct
0.500 0.500 0.500
0.000 0.000 0.809
0.000 0.000 0.191
0.500 0.500 0.000

Arrangement 2

TbPa2Os (PBE-GGA, relaxed); ρ = 11.88 g/cm³; Fermi-level density of states = 2.25 states/eV/atom
1.0
3.641 0.000 0.000
1.820 3.153 0.000
1.820 1.051 9.875
Tb Pa Os
1 2 1
direct
0.000 0.000 0.000
0.107 0.107 0.678
0.893 0.893 0.322
0.500 0.500 0.500

What should be chosen as the least stable of them? Choose arrangement 2.